(1)
# AlCdMoI2

AlCdMoI2 after structural relaxation (PBE, the Alexandria database).

extended XYZ file:
```
5
Lattice="-2.5552 -0.9644 4.8041 -1.4147 -4.7105 -1.6980 4.6639 -2.1401 2.0510" Properties=species:S:1:pos:R:3 pbc="T T T"
I 2.3319 -1.0700 1.0255
I -1.2776 -0.4822 2.4020
Mo 0.0000 0.0000 0.0000
Al -0.7074 -2.3552 -0.8490
Cd 0.3470 -3.9075 2.5785
```

Computed properties:
- Uncorrected energy: -15.96 eV per cell

---

(2)
# Al2CdMoI

Al2CdMoI after structural relaxation (PBE, the Alexandria database).

extended XYZ file:
```
5
Lattice="-4.0522 -2.0076 -2.2710 -1.1136 -3.4370 5.0254 -2.8912 3.6988 1.8890" Properties=species:S:1:pos:R:3 pbc="T T T"
I -0.5568 -1.7185 2.5127
Mo -4.0285 -0.8729 2.3217
Al -1.4456 1.8494 0.9445
Al -2.0261 -1.0038 -1.1355
Cd 0.0000 0.0000 0.0000
```

Computed properties:
- Uncorrected energy: -14.07 eV per cell

---

(3)
# AlCdIN2

AlCdIN2 after structural relaxation (PBE, the Alexandria database).

extended XYZ file:
```
5
Lattice="-3.2770 -1.9412 -2.4016 1.9688 -4.0111 0.5557 -3.3977 -0.9222 5.3815" Properties=species:S:1:pos:R:3 pbc="T T T"
I -1.6989 -0.4611 2.6908
N 0.9844 -2.0056 0.2779
N -1.6385 -0.9706 -1.2008
Al -2.3529 -3.4372 1.7678
Cd 0.0000 0.0000 0.0000
```

Computed properties:
- Excess energy over the best structure of this formula in the dataset: 805 meV/atom
- Uncorrected energy: -14.88 eV per cell

---

(4)
# AlCdIN2

AlCdIN2 after structural relaxation (PBE, the Alexandria database).

extended XYZ file:
```
5
Lattice="-3.5635 1.2647 0.9606 -1.1346 -0.3759 -3.7138 -1.8201 -6.0130 1.1647" Properties=species:S:1:pos:R:3 pbc="T T T"
I -0.9100 -3.0065 0.5823
N -0.5673 -0.1880 -1.8569
N -1.7818 0.6324 0.4803
Al 0.0000 0.0000 0.0000
Cd -3.2591 -2.5621 -0.7942
```

Computed properties:
- Excess energy over the best structure of this formula in the dataset: 0 meV/atom
- Uncorrected energy: -18.91 eV per cell

---

(5)
# AlCdI2O

AlCdI2O after structural relaxation (PBE, the Alexandria database).

extended XYZ file:
```
5
Lattice="-2.8312 -4.6205 -2.1568 3.8872 -3.5524 2.5076 -2.0102 -0.1341 2.9261" Properties=species:S:1:pos:R:3 pbc="T T T"
I 1.9436 -1.7762 1.2538
I -1.4156 -2.3103 -1.0784
Al 0.0000 0.0000 0.0000
O -1.0051 -0.0671 1.4630
Cd -0.4771 -4.1535 1.6384
```

Computed properties:
- Excess energy over the best structure of this formula in the dataset: 0 meV/atom
- Uncorrected energy: -16.73 eV per cell

---

(6)
# AlCdI2O

AlCdI2O after structural relaxation (PBE, the Alexandria database).

extended XYZ file:
```
5
Lattice="-1.6025 -4.7088 -3.4398 3.5172 -3.6259 3.3250 -3.2160 -0.7740 2.5579" Properties=species:S:1:pos:R:3 pbc="T T T"
I 1.7586 -1.8130 1.6625
I -0.8013 -2.3544 -1.7199
Al -0.6507 -4.5544 1.2215
O -1.6080 -0.3870 1.2789
Cd 0.0000 0.0000 0.0000
```

Computed properties:
- Excess energy over the best structure of this formula in the dataset: 802 meV/atom
- Uncorrected energy: -12.72 eV per cell

---

(7)
# AlCdSb2I

AlCdSb2I after structural relaxation (PBE, the Alexandria database).

extended XYZ file:
```
5
Lattice="5.3997 0.0000 0.0000 0.0000 5.3997 0.0000 0.0000 0.0000 5.5466" Properties=species:S:1:pos:R:3 pbc="T T T"
I 0.0000 0.0000 2.7733
Sb 0.0000 2.6998 0.0000
Sb 2.6998 0.0000 0.0000
Al 0.0000 0.0000 0.0000
Cd 2.6998 2.6998 2.7733
```

Computed properties:
- Excess energy over the best structure of this formula in the dataset: 0 meV/atom
- Uncorrected energy: -12.45 eV per cell

---

(8)
# AlCdSb2I

AlCdSb2I after structural relaxation (PBE, the Alexandria database).

extended XYZ file:
```
5
Lattice="-4.3327 1.2275 -3.1792 2.3394 -2.6681 -4.2184 -2.7863 -5.2450 1.7721" Properties=species:S:1:pos:R:3 pbc="T T T"
I -1.3932 -2.6225 0.8861
Sb 1.1697 -1.3340 -2.1092
Sb -2.1663 0.6138 -1.5896
Al -2.3898 -3.3428 -2.8127
Cd 0.0000 0.0000 0.0000
```

Computed properties:
- Excess energy over the best structure of this formula in the dataset: 274 meV/atom
- Uncorrected energy: -11.08 eV per cell

---

| no. | total magnetization (μB/f.u.) | D(E_F) (states/eV per cell) |
| --- | --- | --- |
| 1 | 1.8 | 4.0 |
| 2 | 4.9 | 2.2 |
| 3 | 3.8 | 1.8 |
| 4 | 0.6 | 2.4 |
| 5 | 0.0 | 1.6 |
| 6 | 0.9 | 7.0 |
| 7 | 0.7 | 4.8 |
| 8 | 0.9 | 4.7 |